A plane-wave DFT calculation with PBE was carried out for a geometry-optimized Nd2U2Te7 structure.

Results
- energy (eV for the cell shown) = -64.83
- V (Å³ per atom) = 31.2
- DOS(E_F) (states/eV/atom) = 1.196

The structure in POSCAR format:
```
Nd2U2Te7
1.0
-2.172 8.074 4.899
2.172 -8.074 4.899
2.172 8.074 -4.899
Nd U Te
2 2 7
Direct
0.239 0.000 0.239 Nd
0.761 0.000 0.761 Nd
0.319 0.819 0.500 U
0.769 0.769 0.000 U
0.027 0.705 0.322 Te
0.083 0.083 0.000 Te
0.382 0.705 0.678 Te
0.384 0.491 0.894 Te
0.597 0.491 0.106 Te
0.673 0.308 0.365 Te
0.943 0.308 0.635 Te
```

A plane-wave DFT calculation with PBE was carried out for a geometry-optimized Nd3U5Te12 structure.

Results
- energy (eV for the cell shown) = -481.19
- V (Å³ per atom) = 39.4
- DOS(E_F) (states/eV/atom) = 1.358

The structure in POSCAR format:
```
Nd3U5Te12
1.0
-9.238 9.238 9.238
9.238 -9.238 9.238
9.238 9.238 -9.238
Nd U Te
12 20 48
Direct
0.125 0.250 0.375 Nd
0.125 0.375 0.750 Nd
0.250 0.375 0.125 Nd
0.250 0.875 0.625 Nd
0.375 0.125 0.250 Nd
0.375 0.750 0.125 Nd
0.625 0.250 0.875 Nd
0.625 0.875 0.750 Nd
0.750 0.125 0.375 Nd
0.750 0.625 0.875 Nd
0.875 0.625 0.250 Nd
0.875 0.750 0.625 Nd
0.000 0.000 0.000 U
0.000 0.000 0.500 U
0.000 0.500 0.000 U
0.000 0.500 0.500 U
0.125 0.750 0.875 U
0.125 0.875 0.250 U
0.250 0.125 0.875 U
0.250 0.625 0.375 U
0.375 0.250 0.625 U
0.375 0.625 0.750 U
0.500 0.000 0.000 U
0.500 0.000 0.500 U
0.500 0.500 0.000 U
0.500 0.500 0.500 U
0.625 0.375 0.250 U
0.625 0.750 0.375 U
0.750 0.375 0.625 U
0.750 0.875 0.125 U
0.875 0.125 0.750 U
0.875 0.250 0.125 U
0.052 0.225 0.130 Te
0.052 0.327 0.922 Te
0.078 0.630 0.405 Te
0.078 0.948 0.673 Te
0.095 0.725 0.673 Te
0.095 0.870 0.422 Te
0.130 0.052 0.225 Te
0.130 0.578 0.905 Te
0.173 0.225 0.595 Te
0.173 0.448 0.578 Te
0.225 0.130 0.052 Te
0.225 0.595 0.173 Te
0.275 0.327 0.905 Te
0.275 0.448 0.370 Te
0.327 0.905 0.275 Te
0.327 0.922 0.052 Te
0.370 0.275 0.448 Te
0.370 0.595 0.922 Te
0.405 0.078 0.630 Te
0.405 0.827 0.775 Te
0.422 0.095 0.870 Te
0.422 0.827 0.552 Te
0.448 0.370 0.275 Te
0.448 0.578 0.173 Te
0.552 0.422 0.827 Te
0.552 0.630 0.725 Te
0.578 0.173 0.448 Te
0.578 0.905 0.130 Te
0.595 0.173 0.225 Te
0.595 0.922 0.370 Te
0.630 0.405 0.078 Te
0.630 0.725 0.552 Te
0.673 0.078 0.948 Te
0.673 0.095 0.725 Te
0.725 0.552 0.630 Te
0.725 0.673 0.095 Te
0.775 0.405 0.827 Te
0.775 0.870 0.948 Te
0.827 0.552 0.422 Te
0.827 0.775 0.405 Te
0.870 0.422 0.095 Te
0.870 0.948 0.775 Te
0.905 0.130 0.578 Te
0.905 0.275 0.327 Te
0.922 0.052 0.327 Te
0.922 0.370 0.595 Te
0.948 0.673 0.078 Te
0.948 0.775 0.870 Te
```

A plane-wave DFT calculation with PBE was carried out for a geometry-optimized Nd2UTe4 structure.

Results
- E above lowest polymorph (meV/atom) = 44
- V (Å³ per atom) = 34.7
- DOS(E_F) (states/eV/atom) = 1.106

The structure in POSCAR format:
```
Nd2UTe4
1.0
2.172 -7.379 0.000
2.172 7.379 0.000
0.000 0.000 15.164
Nd U Te
4 2 8
Direct
0.134 0.866 0.568 Nd
0.134 0.866 0.932 Nd
0.866 0.134 0.068 Nd
0.866 0.134 0.432 Nd
0.378 0.622 0.750 U
0.622 0.378 0.250 U
0.032 0.968 0.750 Te
0.221 0.779 0.128 Te
0.221 0.779 0.372 Te
0.500 0.500 0.000 Te
0.500 0.500 0.500 Te
0.779 0.221 0.628 Te
0.779 0.221 0.872 Te
0.968 0.032 0.250 Te
```

A plane-wave DFT calculation with PBE was carried out for a geometry-optimized Nd2UTe4 structure.

Results
- E above lowest polymorph (meV/atom) = 0
- V (Å³ per atom) = 30.3
- DOS(E_F) (states/eV/atom) = 1.421

The structure in POSCAR format:
```
Nd2UTe4
1.0
-4.738 4.738 4.717
4.738 -4.738 4.717
4.738 4.738 -4.717
Nd U Te
4 2 8
Direct
0.375 0.001 0.126 Nd
0.751 0.625 0.626 Nd
0.875 0.249 0.874 Nd
0.999 0.125 0.374 Nd
0.250 0.750 0.500 U
0.500 0.500 0.000 U
0.129 0.029 0.749 Te
0.129 0.529 0.751 Te
0.279 0.379 0.251 Te
0.471 0.221 0.600 Te
0.621 0.871 0.400 Te
0.621 0.871 0.900 Te
0.779 0.379 0.249 Te
0.971 0.721 0.100 Te
```

A plane-wave DFT calculation with PBE was carried out for a geometry-optimized Nd2UTe6 structure.

Results
- energy (eV for the cell shown) = -48.66
- V (Å³ per atom) = 30.2
- DOS(E_F) (states/eV/atom) = 0.743

The structure in POSCAR format:
```
Nd2UTe6
1.0
8.548 0.000 0.000
-4.274 7.403 0.000
0.000 0.000 4.300
Nd U Te
2 1 6
Direct
0.333 0.667 0.000 Nd
0.667 0.333 0.000 Nd
0.000 0.000 0.500 U
0.000 0.255 0.000 Te
0.000 0.603 0.500 Te
0.255 0.000 0.000 Te
0.397 0.397 0.500 Te
0.603 0.000 0.500 Te
0.745 0.745 0.000 Te
```

A plane-wave DFT calculation with PBE was carried out for a geometry-optimized Nd3V5Te12 structure.

Results
- energy (eV for the cell shown) = -436.29
- V (Å³ per atom) = 31.4
- DOS(E_F) (states/eV/atom) = 0.431

The structure in POSCAR format:
```
Nd3V5Te12
1.0
-8.564 8.564 8.564
8.564 -8.564 8.564
8.564 8.564 -8.564
Nd V Te
12 20 48
Direct
0.125 0.250 0.375 Nd
0.125 0.375 0.750 Nd
0.250 0.375 0.125 Nd
0.250 0.875 0.625 Nd
0.375 0.125 0.250 Nd
0.375 0.750 0.125 Nd
0.625 0.250 0.875 Nd
0.625 0.875 0.750 Nd
0.750 0.125 0.375 Nd
0.750 0.625 0.875 Nd
0.875 0.625 0.250 Nd
0.875 0.750 0.625 Nd
0.000 0.000 0.000 V
0.000 0.000 0.500 V
0.000 0.500 0.000 V
0.000 0.500 0.500 V
0.125 0.750 0.875 V
0.125 0.875 0.250 V
0.250 0.125 0.875 V
0.250 0.625 0.375 V
0.375 0.250 0.625 V
0.375 0.625 0.750 V
0.500 0.000 0.000 V
0.500 0.000 0.500 V
0.500 0.500 0.000 V
0.500 0.500 0.500 V
0.625 0.375 0.250 V
0.625 0.750 0.375 V
0.750 0.375 0.625 V
0.750 0.875 0.125 V
0.875 0.125 0.750 V
0.875 0.250 0.125 V
0.030 0.208 0.117 Te
0.030 0.322 0.913 Te
0.087 0.617 0.409 Te
0.087 0.970 0.678 Te
0.091 0.708 0.678 Te
0.091 0.883 0.413 Te
0.117 0.030 0.208 Te
0.117 0.587 0.909 Te
0.178 0.208 0.591 Te
0.178 0.470 0.587 Te
0.208 0.117 0.030 Te
0.208 0.591 0.178 Te
0.292 0.322 0.909 Te
0.292 0.470 0.383 Te
0.322 0.909 0.292 Te
0.322 0.913 0.030 Te
0.383 0.292 0.470 Te
0.383 0.591 0.913 Te
0.409 0.087 0.617 Te
0.409 0.822 0.792 Te
0.413 0.091 0.883 Te
0.413 0.822 0.530 Te
0.470 0.383 0.292 Te
0.470 0.587 0.178 Te
0.530 0.413 0.822 Te
0.530 0.617 0.708 Te
0.587 0.178 0.470 Te
0.587 0.909 0.117 Te
0.591 0.178 0.208 Te
0.591 0.913 0.383 Te
0.617 0.409 0.087 Te
0.617 0.708 0.530 Te
0.678 0.087 0.970 Te
0.678 0.091 0.708 Te
0.708 0.530 0.617 Te
0.708 0.678 0.091 Te
0.792 0.409 0.822 Te
0.792 0.883 0.970 Te
0.822 0.530 0.413 Te
0.822 0.792 0.409 Te
0.883 0.413 0.091 Te
0.883 0.970 0.792 Te
0.909 0.117 0.587 Te
0.909 0.292 0.322 Te
0.913 0.030 0.322 Te
0.913 0.383 0.591 Te
0.970 0.678 0.087 Te
0.970 0.792 0.883 Te
```

A plane-wave DFT calculation with PBE was carried out for a geometry-optimized NdVTe structure.

Results
- energy (eV for the cell shown) = -36.52
- V (Å³ per atom) = 26.8
- DOS(E_F) (states/eV/atom) = 0.840

The structure in POSCAR format:
```
NdVTe
1.0
5.264 -2.401 0.000
5.264 2.401 0.000
-0.679 0.000 6.358
Nd V Te
2 2 2
Direct
0.119 0.119 0.273 Nd
0.881 0.881 0.727 Nd
0.420 0.420 0.067 V
0.580 0.580 0.933 V
0.181 0.181 0.775 Te
0.819 0.819 0.225 Te
```

A plane-wave DFT calculation with PBE was carried out for a geometry-optimized Nd2VTe structure.

Results
- energy (eV for the cell shown) = -20.77
- V (Å³ per atom) = 32.1
- DOS(E_F) (states/eV/atom) = 1.184

The structure in POSCAR format:
```
Nd2VTe
1.0
1.910 1.103 10.155
-1.910 1.103 10.155
0.000 -2.205 10.155
Nd V Te
2 1 1
Direct
0.094 0.094 0.094 Nd
0.906 0.906 0.906 Nd
0.000 0.000 0.000 V
0.500 0.500 0.500 Te
```

A plane-wave DFT calculation with PBE was carried out for a geometry-optimized Nd2YTe3 structure.

Results
- energy (eV for the cell shown) = -33.74
- V (Å³ per atom) = 31.3
- DOS(E_F) (states/eV/atom) = 0.510

The structure in POSCAR format:
```
Nd2YTe3
1.0
-2.232 3.141 6.692
2.232 -3.141 6.692
2.232 3.141 -6.692
Nd Y Te
2 1 3
Direct
0.173 0.173 0.000 Nd
0.827 0.827 0.000 Nd
0.500 0.500 0.000 Y
0.000 0.500 0.500 Te
0.341 0.841 0.500 Te
0.659 0.159 0.500 Te
```

A plane-wave DFT calculation with PBE was carried out for a geometry-optimized Nd2Y2Te7 structure.

Results
- energy (eV for the cell shown) = -58.19
- V (Å³ per atom) = 31.3
- DOS(E_F) (states/eV/atom) = 0.466

The structure in POSCAR format:
```
Nd2Y2Te7
1.0
-2.164 8.017 4.964
2.164 -8.017 4.964
2.164 8.017 -4.964
Nd Y Te
2 2 7
Direct
0.242 0.000 0.242 Nd
0.758 0.000 0.758 Nd
0.329 0.829 0.500 Y
0.773 0.773 0.000 Y
0.027 0.701 0.326 Te
0.095 0.095 0.000 Te
0.375 0.701 0.674 Te
0.390 0.497 0.893 Te
0.605 0.497 0.107 Te
0.669 0.310 0.359 Te
0.951 0.310 0.641 Te
```

A plane-wave DFT calculation with PBE was carried out for a geometry-optimized NdYTe6 structure.

Results
- energy (eV for the cell shown) = -37.71
- V (Å³ per atom) = 32.4
- DOS(E_F) (states/eV/atom) = 0.303

The structure in POSCAR format:
```
NdYTe6
1.0
4.369 0.000 0.000
0.000 2.184 13.601
0.000 -2.184 13.601
Nd Y Te
1 1 6
Direct
0.000 0.000 0.000 Nd
0.500 0.345 0.345 Y
0.000 0.252 0.252 Te
0.000 0.595 0.595 Te
0.000 0.879 0.879 Te
0.500 0.095 0.095 Te
0.500 0.463 0.463 Te
0.500 0.752 0.752 Te
```

A plane-wave DFT calculation with PBE was carried out for a geometry-optimized Nd2Y3Te8 structure.

Results
- energy (eV for the cell shown) = -70.91
- V (Å³ per atom) = 37.8
- DOS(E_F) (states/eV/atom) = 0.496

The structure in POSCAR format:
```
Nd2Y3Te8
1.0
7.766 -4.398 0.000
7.766 4.398 0.000
-2.418 0.000 7.191
Nd Y Te
2 3 8
Direct
0.248 0.248 0.169 Nd
0.752 0.752 0.831 Nd
0.243 0.757 0.500 Y
0.500 0.500 0.000 Y
0.757 0.243 0.500 Y
0.118 0.118 0.411 Te
0.134 0.629 0.089 Te
0.371 0.866 0.911 Te
0.382 0.382 0.587 Te
0.618 0.618 0.413 Te
0.629 0.134 0.089 Te
0.866 0.371 0.911 Te
0.882 0.882 0.589 Te
```

A plane-wave DFT calculation with PBE was carried out for a geometry-optimized Nd2YTe structure.

Results
- E above lowest polymorph (meV/atom) = 24
- V (Å³ per atom) = 34.6
- DOS(E_F) (states/eV/atom) = 1.242

The structure in POSCAR format:
```
Nd2YTe
1.0
2.005 1.158 9.948
-2.005 1.158 9.948
0.000 -2.316 9.948
Nd Y Te
2 1 1
Direct
0.000 0.000 0.000 Nd
0.189 0.189 0.189 Nd
0.427 0.427 0.427 Y
0.595 0.595 0.595 Te
```

A plane-wave DFT calculation with PBE was carried out for a geometry-optimized NdYTe structure.

Results
- E above lowest polymorph (meV/atom) = 386
- V (Å³ per atom) = 32.2
- DOS(E_F) (states/eV/atom) = 1.053

The structure in POSCAR format:
```
NdYTe
1.0
5.206 0.000 0.000
-2.603 4.509 0.000
0.000 0.000 4.109
Nd Y Te
1 1 1
Direct
0.000 0.000 0.000 Nd
0.333 0.667 0.484 Y
0.667 0.333 0.316 Te
```

A plane-wave DFT calculation with PBE was carried out for a geometry-optimized NdY3Te structure.

Results
- energy (eV for the cell shown) = -58.17
- V (Å³ per atom) = 33.9
- DOS(E_F) (states/eV/atom) = 1.383

The structure in POSCAR format:
```
NdY3Te
1.0
5.859 -4.659 0.000
5.859 4.659 0.000
-4.588 0.000 6.218
Nd Y Te
2 6 2
Direct
0.066 0.066 0.365 Nd
0.934 0.934 0.635 Nd
0.049 0.424 0.214 Y
0.424 0.049 0.214 Y
0.444 0.444 0.689 Y
0.556 0.556 0.311 Y
0.576 0.951 0.786 Y
0.951 0.576 0.786 Y
0.266 0.266 0.893 Te
0.734 0.734 0.107 Te
```

A plane-wave DFT calculation with PBE was carried out for a geometry-optimized Nd3Y5Te8 structure.

Results
- energy (eV for the cell shown) = -93.35
- V (Å³ per atom) = 30.5
- DOS(E_F) (states/eV/atom) = 0.786

The structure in POSCAR format:
```
Nd3Y5Te8
1.0
4.398 2.539 7.277
-4.398 2.539 7.277
0.000 -5.078 7.277
Nd Y Te
3 5 8
Direct
0.000 0.500 0.500 Nd
0.500 0.000 0.500 Nd
0.500 0.500 0.000 Nd
0.000 0.000 0.000 Y
0.000 0.000 0.500 Y
0.000 0.500 0.000 Y
0.500 0.000 0.000 Y
0.500 0.500 0.500 Y
0.242 0.750 0.750 Te
0.246 0.246 0.246 Te
0.250 0.250 0.758 Te
0.250 0.758 0.250 Te
0.750 0.242 0.750 Te
0.750 0.750 0.242 Te
0.754 0.754 0.754 Te
0.758 0.250 0.250 Te
```